Ac2ErBe2O6: optimized geometry, GGA-PBE.

ΔE_f (raw) = -2.889 eV per atom
DFT total energy = -7.433 eV per atom
symmetry = No. 147
total magnetization = 0.00 μB/f.u.

abc: 5.3691 5.3691 9.3436
angles: 90.00 90.00 120.00
With the nearest neighbours (Å) after each atom.
Sites, in units of the cell vectors:
Ac (0.3333, 0.6667, 0.2588)  3 O 2.32
Ac (0.6667, 0.3333, 0.7412)  3 O 2.32
Er (0.0000, 0.0000, 0.0000)  6 O 2.26
Be (0.3333, 0.6667, 0.8559)  3 O 1.55
Be (0.6667, 0.3333, 0.1441)  3 O 1.55
O (0.0677, 0.7074, 0.8508)  1 Be 1.55
O (0.2926, 0.3603, 0.8508)  1 Be 1.55
O (0.3603, 0.0677, 0.1492)  1 Be 1.55
O (0.6397, 0.9323, 0.8508)  1 Be 1.55
O (0.7074, 0.6397, 0.1492)  1 Be 1.55
O (0.9323, 0.2926, 0.1492)  1 Be 1.55